Material: ZnAgSb3
Method: DFT, GGA-PBEsol
State: relaxed

formation energy without anion corrections = 0.808 eV/atom
spin magnetization = 0.0 μB/f.u.

```
data_ZnAgSb3
_chemical_formula_sum 'Zn1 Ag1 Sb3'
_space_group_name_H-M_alt 'P m -3 m'
_space_group_IT_number 221
_space_group_name_Hall '-P 4 2 3'
_cell_length_a 5.275
_cell_length_b 5.275
_cell_length_c 5.275
_cell_angle_alpha 90.00
_cell_angle_beta 90.00
_cell_angle_gamma 90.00
loop_
_atom_site_label
_atom_site_fract_x
_atom_site_fract_y
_atom_site_fract_z
Zn1 0.000 0.000 0.000
Ag1 0.500 0.500 0.500
Sb1 0.000 0.500 0.500
```